No. 1
Entry from Alexandria via LeMat-Bulk: crystalline Ce2NpAs4 at its relaxed geometry (GGA-PBE).

Structure (POSCAR):
```
Ce2NpAs4
1.0
3.970 0.000 0.000
0.000 3.970 0.000
0.000 0.000 11.228
Ce Np As
2 1 4
Direct
0.500 0.000 0.710 Ce
0.000 0.500 0.290 Ce
0.500 0.500 0.000 Np
0.500 0.000 0.187 As
0.000 0.500 0.813 As
0.500 0.500 0.500 As
0.000 0.000 0.500 As
```

Computed properties:
M_tot   6.28 μB/f.u.
Formation energy   -0.81 eV/atom

---

No. 2
Entry from Alexandria via LeMat-Bulk: crystalline CeNpAs2 at its relaxed geometry (GGA-PBE).

Structure (POSCAR):
```
CeNpAs2
1.0
4.168 0.000 0.000
2.084 3.610 0.000
2.084 1.203 6.788
Np As Ce
1 2 1
Direct
0.500 0.500 0.500 Np
0.753 0.753 0.742 As
0.247 0.247 0.258 As
0.000 0.000 0.000 Ce
```

Computed properties:
Energy relative to the lowest polymorph listed for this composition   0.00 eV/f.u.
M_tot   4.65 μB/f.u.
Formation energy   -1.05 eV/atom

---

No. 3
Entry from Alexandria via LeMat-Bulk: crystalline Ce3NpAs4 at its relaxed geometry (GGA-PBE).

Structure (POSCAR):
```
Ce3NpAs4
1.0
-2.953 2.138 2.067
-3.167 1.719 -6.300
-2.771 -6.231 2.484
Np As Ce
1 4 3
Direct
0.500 0.000 0.000 Np
0.000 0.245 0.245 As
0.500 0.752 0.248 As
0.000 0.755 0.755 As
0.500 0.248 0.752 As
0.000 0.000 0.500 Ce
0.500 0.500 0.500 Ce
0.000 0.500 0.000 Ce
```

Computed properties:
M_tot   6.11 μB/f.u.
Formation energy   -1.24 eV/atom

---

Copy entry 1 word for word.
Entry from Alexandria via LeMat-Bulk: crystalline Ce2NpAs4 at its relaxed geometry (GGA-PBE).

Structure (POSCAR):
```
Ce2NpAs4
1.0
3.970 0.000 0.000
0.000 3.970 0.000
0.000 0.000 11.228
Ce Np As
2 1 4
Direct
0.500 0.000 0.710 Ce
0.000 0.500 0.290 Ce
0.500 0.500 0.000 Np
0.500 0.000 0.187 As
0.000 0.500 0.813 As
0.500 0.500 0.500 As
0.000 0.000 0.500 As
```

Computed properties:
M_tot   6.28 μB/f.u.
Formation energy   -0.81 eV/atom

---

What is the formation energy in the second record?
-1.05 eV/atom

---

Which of these has the lowest formation energy?
Ce3NpAs4

---

Which value of formation energy does entry 3 give?
-1.24 eV/atom